Below is a relaxed structure of SbPb2S, with properties calculated at the GGA-PBE level.

Summary:
Space group: I-42d, No. 122
Uncorrected formation energy in kJ per mole of atoms: 0.2
Calculated total energy in eV per atom: -3.915
Fermi-level density of states in states/eV/cell: 5.9
Offset from the most stable computed form in kJ/mol of formula units: 51.2

Lattice parameters (Å, degrees): 6.5321 6.5321 8.6975 67.94 67.94 90.00
Closest atoms and distances in Å follow each position.
Atoms (fractional coordinates):
Pb (0.3750, 0.4086, 0.7500)  2 S 2.84, 2 Sb 3.08
Pb (0.5914, 0.1250, 0.2500)  2 S 2.84, 2 Sb 3.08
Sb (0.7500, 0.2500, 0.5000)  4 Pb 3.08
Pb (0.1586, 0.6250, 0.2500)  2 S 2.84, 2 Sb 3.08
S (0.5000, 0.5000, 0.0000)  4 Pb 2.84
Sb (0.0000, 0.0000, 0.0000)  4 Pb 3.08
S (0.2500, 0.7500, 0.5000)  4 Pb 2.84
Pb (0.8750, 0.8414, 0.7500)  2 S 2.84, 2 Sb 3.08